1.
The following is a GGA-PBE calculation of CaLa2In after structural relaxation, from the Alexandria database.

The structure belongs to space group C2/m (No. 12); the cell edges are 6.751, 12.239 and 3.554 Å and the angles 90.00°, 115.70° and 90.00°. The asymmetric unit holds Ca at (0.000, 0.000, 0.000), La at (0.250, 0.250, 0.500) and In at (0.000, 0.500, 0.000).

The calculation puts the formation energy at -124 meV per atom. Its volume is 264.6 Å³ per cell. Its calculated total energy is -3.772 eV per atom.



2.
The following is a GGA-PBE calculation of Be2AlCl after structural relaxation, from the Alexandria database.

The structure belongs to space group F-43m (No. 216); the cell edges are 6.387, 6.387 and 6.387 Å and the angles 90.00°, 90.00° and 90.00°. The asymmetric unit holds Be at (0.000, 0.000, 0.000), Be at (0.250, 0.250, 0.250), Al at (0.000, 0.000, 0.500) and Cl at (0.250, 0.250, 0.750).

Its volume is 260.6 Å³ per cell. Its formation energy from raw total energies is 0.946 eV per atom. Its calculated total energy is -2.314 eV per atom.



3.
The following is a GGA-PBE calculation of ZrFe2Pt2 after structural relaxation, from the Alexandria database.

The structure belongs to space group I4/mmm (No. 139); the cell edges are 3.566, 3.566 and 12.937 Å and the angles 90.00°, 90.00° and 90.00°. The asymmetric unit holds Zr at (0.000, 0.000, 0.000), Fe at (0.000, 0.500, 0.250) and Pt at (0.000, 0.000, 0.396).

The calculation puts the formation energy at -362 meV per atom. Its volume is 164.6 Å³ per cell. Its calculated total energy is -7.873 eV per atom.



4.
The following is a GGA-PBE calculation of TiBeGaAu2 after structural relaxation, from the Alexandria database.

The structure belongs to space group P4/mmm (No. 123); the cell edges are 5.032, 5.032 and 4.679 Å and the angles 90.00°, 90.00° and 90.00°. The asymmetric unit holds Ti at (0.000, 0.000, 0.000), Be at (0.000, 0.000, 0.500), Ga at (0.500, 0.500, 0.500) and Au at (0.000, 0.500, 0.000).

The calculation puts the formation energy at 871 meV per atom. Its volume is 118.5 Å³ per cell. Its calculated total energy is -3.369 eV per atom.



5.
The following is a GGA-PBE calculation of K2ScIr after structural relaxation, from the Alexandria database.

The structure belongs to space group P2/m (No. 10); the cell edges are 3.507, 6.169 and 4.673 Å and the angles 90.00°, 92.84° and 90.00°. The asymmetric unit holds K at (0.241, 0.000, 0.262), Sc at (0.500, 0.500, 0.000) and Ir at (0.000, 0.500, 0.500).

The calculation puts the formation energy at 614 meV per atom. Its volume is 101.0 Å³ per cell. Its calculated total energy is -3.733 eV per atom.



6.
The following is a GGA-PBE calculation of InSn2Pt after structural relaxation, from the Alexandria database.

The structure belongs to space group Fm-3m (No. 225); the cell edges are 7.136, 7.136 and 7.136 Å and the angles 90.00°, 90.00° and 90.00°. The asymmetric unit holds In at (0.000, 0.000, 0.000), Sn at (0.250, 0.250, 0.250) and Pt at (0.000, 0.000, 0.500).

The calculation puts the formation energy at -7 meV per atom. Its volume is 363.4 Å³ per cell. Its calculated total energy is -4.203 eV per atom.



7.
The following is a GGA-PBE calculation of Ca2ScOs after structural relaxation, from the Alexandria database.

The structure belongs to space group P4/mmm (No. 123); the cell edges are 3.805, 3.805 and 6.674 Å and the angles 90.00°, 90.00° and 90.00°. The asymmetric unit holds Ca at (0.000, 0.000, 0.215), Sc at (0.500, 0.500, 0.500) and Os at (0.500, 0.500, 0.000).

The calculation puts the formation energy at 534 meV per atom. Its volume is 96.6 Å³ per cell. Its calculated total energy is -4.857 eV per atom.



8.
The following is a GGA-PBE calculation of CuSI3 after structural relaxation, from the Alexandria database.

The structure belongs to space group Pm (No. 6); the cell edges are 4.151, 8.620 and 5.086 Å and the angles 90.00°, 113.77° and 90.00°. The asymmetric unit holds Cu at (0.000, 0.000, 0.000), S at (0.399, 0.000, 0.793), I at (0.206, 0.228, 0.412) and I at (0.989, 0.500, 0.995).

Its volume is 166.5 Å³ per cell. Its formation energy from raw total energies is 0.017 eV per atom. Its calculated total energy is -2.557 eV per atom.